Computed, not measured: VIrI3 after structural relaxation at the GGA-PBE level of DFT.

The structure belongs to space group Pm-3m (No. 221); the cell edges are 5.410, 5.410 and 5.410 Å and the angles 90.00°, 90.00° and 90.00°. The distinct sites, in fractional coordinates, are V at (0.000, 0.000, 0.000), Ir at (0.500, 0.500, 0.500) and I at (0.000, 0.500, 0.500).

Its raw formation energy is 812 meV per atom. The magnetization comes out at 3.58 Bohr magnetons per cell.